Compound: CsGa5Au4
Source: Alexandria
Functional: PBE-GGA
Structure: optimized geometry

ΔH_f (0 K) in kJ/mol of atoms: -14.7
Total magnetization in μB/atom: 0.000
Uncorrected energy in eV for the cell shown: -61.24

Cell: 6.853 9.544 6.910 Å, 90.00 90.00 90.00°
Space group Pmmn (No. 59, origin choice 2)
Asymmetric unit:
Cs 0.250 0.250 0.001 (multiplicity 2)
Ga 0.008 0.504 0.302 (multiplicity 8)
Ga 0.250 0.750 0.724 (multiplicity 2)
Au 0.046 0.250 0.504 (multiplicity 4)
Au 0.250 0.587 0.028 (multiplicity 4)

***

Compound: Cs3GaAu3
Source: Alexandria
Functional: PBE-GGA
Structure: optimized geometry

ΔH_f (0 K) in kJ/mol of atoms: -28.0
Total magnetization in μB/atom: 0.000
Uncorrected energy in eV for the cell shown: -69.80

Cell: 13.635 4.849 18.050 Å, 90.00 111.56 90.00°
Space group C2/m (No. 12)
Asymmetric unit:
Cs 0.002 0.000 0.271 (multiplicity 4)
Cs 0.110 0.500 0.109 (multiplicity 4)
Cs 0.181 0.000 0.586 (multiplicity 4)
Ga 0.172 0.500 0.902 (multiplicity 4)
Au 0.041 0.500 0.434 (multiplicity 4)
Au 0.175 0.000 0.954 (multiplicity 4)
Au 0.211 0.500 0.766 (multiplicity 4)